Material: KH3Ru
Method: DFT, PBE-GGA
State: relaxed

Lattice parameters (Å, degrees): 3.719 3.719 3.719 90.00 90.00 90.00
Positions (direct):
K: 0.000 0.000 0.000
H: 0.000 0.500 0.500
H: 0.500 0.000 0.500
H: 0.500 0.500 0.000
Ru: 0.500 0.500 0.500

Properties
offset from the most stable computed form	0.000	eV/atom